Record 1
Crystalline Pu3Si4Pd4 at its relaxed geometry. Source: Alexandria via LeMat-Bulk, functional PBE.

a = 4.1817 Å, b = 7.0329 Å, c = 7.9266 Å
α = 116.34°, β = 105.29°, γ = 90.00°
Last column: magnetic moment on the atom in μB.
Fractional coordinates of all 11 atoms:
Pu 0.1171 0.1171 0.2342  4.98
Pu 0.8829 0.8829 0.7658  4.98
Pu 0.0000 0.5000 0.0000  5.17
Si 0.2205 0.7205 0.4410  0.00
Si 0.7795 0.2795 0.5590  0.00
Si 0.5000 0.8114 0.0000  -0.07
Si 0.5000 0.1886 0.0000  -0.07
Pd 0.3232 0.1247 0.6464  0.01
Pd 0.6768 0.4783 0.3536  0.01
Pd 0.6768 0.8753 0.3536  0.01
Pd 0.3232 0.5217 0.6464  0.01

Output
**E_tot**: -8.43 eV per atom
**Total magnetization**: 15.6 Bohr magnetons per cell
**Fermi-level density of states**: 33.48 states/eV/cell
**E_form (uncorrected)**: -697.5 kJ/mol of formula units



Record 2
Crystalline Mn2MoRu at its relaxed geometry. Source: Alexandria via LeMat-Bulk, functional PBE.

a = 3.0699 Å, b = 3.0699 Å, c = 5.8048 Å
α = 90.00°, β = 90.00°, γ = 90.00°
Last column: magnetic moment on the atom in μB.
Fractional coordinates of all 4 atoms:
Mn 0.0000 0.0000 0.0022  2.50
Mn 0.0000 0.0000 0.4978  2.50
Mo 0.5000 0.5000 0.2500  -0.88
Ru 0.5000 0.5000 0.7500  0.21

Output
**E_tot**: -9.51 eV per atom
**Total magnetization**: 4.4 Bohr magnetons per cell
**Fermi-level density of states**: 3.50 states/eV/cell
**Energy of formation from the pure elements**: 0.104 eV/atom



Record 3
Crystalline TaGaNF2 at its relaxed geometry. Source: Alexandria via LeMat-Bulk, functional PBE.

a = 3.6130 Å, b = 3.6130 Å, c = 5.0003 Å
α = 90.00°, β = 90.00°, γ = 90.00°
Last column: magnetic moment on the atom in μB.
Fractional coordinates of all 5 atoms:
N 0.0000 0.0000 0.5000  -0.05
F 0.0000 0.5000 0.0000  0.04
F 0.5000 0.0000 0.0000  0.04
Ga 0.0000 0.0000 0.0000  -0.03
Ta 0.5000 0.5000 0.5000  1.64

Output
**E_tot**: -5.65 eV per atom
**Total magnetization**: 2.4 Bohr magnetons per cell
**Fermi-level density of states**: 2.22 states/eV/cell
**E_form (uncorrected)**: -125.3 kJ/mol of formula units



> total magnetization of number 1 (Pu3Si4Pd4)?

15.6 Bohr magnetons per cell



Copy entry 3 word for word.
Crystalline TaGaNF2 at its relaxed geometry. Source: Alexandria via LeMat-Bulk, functional PBE.

a = 3.6130 Å, b = 3.6130 Å, c = 5.0003 Å
α = 90.00°, β = 90.00°, γ = 90.00°
Last column: magnetic moment on the atom in μB.
Fractional coordinates of all 5 atoms:
N 0.0000 0.0000 0.5000  -0.05
F 0.0000 0.5000 0.0000  0.04
F 0.5000 0.0000 0.0000  0.04
Ga 0.0000 0.0000 0.0000  -0.03
Ta 0.5000 0.5000 0.5000  1.64

Output
**E_tot**: -5.65 eV per atom
**Total magnetization**: 2.4 Bohr magnetons per cell
**Fermi-level density of states**: 2.22 states/eV/cell
**E_form (uncorrected)**: -125.3 kJ/mol of formula units